Material: ScGaC2
Method: DFT, PBE-GGA
State: relaxed

Cell: 5.665 5.665 5.080 Å, 56.11 56.11 90.00°
Fractional coordinates of all 8 atoms:
C 0.659 0.125 0.250
C 0.375 0.341 0.750
C 0.091 0.625 0.250
Ga 0.000 0.000 0.000
C 0.875 0.909 0.750
Sc 0.250 0.750 0.500
Sc 0.500 0.500 0.000
Ga 0.750 0.250 0.500

Calculated values
formation energy	610	meV/atom
DFT total energy	-6.342	eV/atom